[1]
This record from Alexandria via LeMat-Bulk describes Er3CoHg2 after structural relaxation. The functional is PBE-GGA.

Cell: 15.847 5.105 7.048 Å, 90.00 90.04 90.00°
Space group C2/c (No. 15)
Asymmetric unit:
Er 0.000 0.014 0.250
Er 0.132 0.500 0.000
Co 0.000 0.486 0.750
Hg 0.194 0.001 0.750

## Properties
Uncorrected energy   -3.894 eV per atom
E_form   -0.328 eV/atom
Total moment   0.0000 μB per atom
V   23.8 A^3/atom



[2]
This record from Alexandria via LeMat-Bulk describes Er3CoHg after structural relaxation. The functional is PBE-GGA.

Cell: 5.452 6.425 8.194 Å, 70.07 77.88 65.47°
Space group P-1 (No. 2)
Asymmetric unit:
Er 0.033 0.163 0.119
Er 0.364 0.182 0.690
Er 0.369 0.465 0.224
Co 0.444 0.835 0.981
Hg 0.110 0.735 0.520

## Properties
Offset from the most stable computed form   0.000 eV per atom
Uncorrected energy   -4.516 eV per atom
E_form   -0.297 eV/atom
Total moment   0.0000 μB per atom
V   24.5 A^3/atom



[3]
This record from Alexandria via LeMat-Bulk describes Er6Co2Hg after structural relaxation. The functional is PBE-GGA.

Cell: 9.256 9.492 9.874 Å, 90.00 90.00 90.00°
Space group Immm (No. 71)
Asymmetric unit:
Er 0.000 0.209 0.228
Er 0.198 0.500 0.183
Er 0.209 0.313 0.500
Co 0.000 0.378 0.000
Co 0.000 0.500 0.387
Hg 0.000 0.000 0.000
Hg 0.000 0.000 0.500

## Properties
Uncorrected energy   -4.930 eV per atom
E_form   -0.275 eV/atom
Total moment   0.0000 μB per atom
V   24.1 A^3/atom



[4]
This record from Alexandria via LeMat-Bulk describes Er2CoHg after structural relaxation. The functional is PBE-GGA.

Cell: 3.7769 3.7769 23.1799 Å, 90.00 90.00 120.00°
Space group R-3m (No. 166, hexagonal axes)
Asymmetric unit:
Er 0.0000 0.0000 0.2317
Co 0.0000 0.0000 0.5000
Hg 0.0000 0.0000 0.0000

## Properties
Offset from the most stable computed form   0.103 eV per atom
Uncorrected energy   -4.388 eV per atom
E_form   -0.255 eV/atom
Total moment   0.0000 μB per atom
V   23.9 A^3/atom